Material: TcHgS2N
Method: DFT, GGA-PBE
State: relaxed Values from VASP.

```
&SYSTEM
  ibrav = 0, nat = 5, ntyp = 4
/
ATOMIC_SPECIES
Tc 98.00 Tc.upf
Hg 200.59 Hg.upf
S 32.06 S.upf
N 14.01 N.upf
ATOMIC_POSITIONS angstrom
Tc 0.000 0.000 0.000
Hg 2.435 2.435 1.867
S 0.000 2.435 0.000
S 2.435 0.000 0.000
N 0.000 0.000 1.867
CELL_PARAMETERS angstrom
4.869 0.000 0.000
0.000 4.869 0.000
0.000 0.000 3.733
```

Output
Space group   P4/mmm, No. 123
DFT total energy   -5.150 eV/atom
Formation energy (no corrections)   1.498 eV per formula unit
Spin magnetization   0.00 μB per formula unit